#one
Below is a crystal of BaIr2Pt relaxed with PBEsol, with properties calculated at the SCAN level.

POSCAR file:
```
BaIr2Pt
1.0
2.8701 0.0000 0.0000
0.0000 5.0625 0.0000
-1.4351 -2.5312 5.1871
Ir Ba Pt
2 1 1
Direct
0.7234 0.7234 0.4469
0.2766 0.2766 0.5531
0.5000 0.0000 0.0000
0.0000 0.5000 0.0000
```

For the size of the total moment, the calculation gives 0.0 μB/cell. The calculation puts the density of states at the Fermi level at 3.920 states/eV per cell.

#two
Below is a crystal of BaIr2Pt relaxed with PBEsol, with properties calculated at the SCAN level.

POSCAR file:
```
BaIr2Pt
1.0
-2.1497 -3.1325 2.8130
1.7874 -0.9592 4.2698
-2.2503 1.4695 3.8888
Ir Pt Ba
2 1 1
Direct
0.7500 0.7500 0.7500
0.2500 0.2500 0.2500
0.5000 0.5000 0.5000
0.0000 0.0000 0.0000
```

For the size of the total moment, the calculation gives 1.8 μB/cell. The calculation puts the density of states at the Fermi level at 5.218 states/eV per cell.

#three
Below is a crystal of BaIr2Pt relaxed with PBEsol, with properties calculated at the SCAN level.

POSCAR file:
```
BaIr2Pt
1.0
2.8851 0.0011 0.0000
-0.1277 5.0573 0.0000
-1.3787 -2.5292 5.0887
Ir Ba Pt
2 1 1
Direct
0.5000 0.5000 0.5000
0.0000 0.0000 0.5000
0.5000 0.0000 0.0000
0.0000 0.5000 0.0000
```

For the size of the total moment, the calculation gives 0.0 μB/cell. The calculation puts the density of states at the Fermi level at 3.529 states/eV per cell.

Most stable: #one. Least stable: #two.

#one
Below is a crystal of Ba2IrRh relaxed with PBEsol, with properties calculated at the SCAN level.

POSCAR file:
```
Ba2IrRh
1.0
4.5685 0.0000 0.0000
0.0000 4.8790 0.0000
0.0000 -2.4395 5.3639
Ir Rh Ba
1 1 2
Direct
0.0000 0.7869 0.5737
0.5000 0.7151 0.4303
0.5000 0.3967 0.7935
0.0000 0.1018 0.2036
```

For the size of the total moment, the calculation gives 0.0 μB/cell. The calculation puts the density of states at the Fermi level at 2.235 states/eV per cell.

#two
Below is a crystal of Ba2IrRh relaxed with PBEsol, with properties calculated at the SCAN level.

POSCAR file:
```
Ba2IrRh
1.0
4.1218 0.0000 0.0000
0.0000 4.9196 0.0000
0.0000 0.0000 4.9196
Rh Ir Ba
1 1 2
Direct
0.5000 0.0000 0.0000
0.5000 0.5000 0.5000
0.0000 0.5000 0.0000
0.0000 0.0000 0.5000
```

For the size of the total moment, the calculation gives 0.0 μB/cell. The calculation puts the density of states at the Fermi level at 1.973 states/eV per cell.

Most stable: #one. Least stable: #two.

#one
Below is a crystal of BaIr2Ru relaxed with PBEsol, with properties calculated at the SCAN level.

POSCAR file:
```
BaIr2Ru
1.0
-1.4270 2.4822 0.2877
-2.9553 -1.2272 -4.0699
-2.0345 -1.6857 4.4524
Ba Ir Ru
1 2 1
Direct
0.5000 0.5000 0.5000
0.0000 0.0000 0.5000
0.0000 0.5000 0.0000
0.5000 0.0000 0.0000
```

For the size of the total moment, the calculation gives 0.4 μB/cell. The calculation puts the density of states at the Fermi level at 4.444 states/eV per cell.

#two
Below is a crystal of BaIr2Ru relaxed with PBEsol, with properties calculated at the SCAN level.

POSCAR file:
```
BaIr2Ru
1.0
-4.6645 0.3240 -0.7015
-2.8366 -3.5580 1.2843
-2.9151 0.5133 3.6870
Ba Ir Ru
1 2 1
Direct
0.0000 0.0000 0.0000
0.2500 0.2500 0.2500
0.7500 0.7500 0.7500
0.5000 0.5000 0.5000
```

For the size of the total moment, the calculation gives 3.8 μB/cell. The calculation puts the density of states at the Fermi level at 2.067 states/eV per cell.

Most stable: #one. Least stable: #two.

#one
Below is a crystal of BaIr2Ru relaxed with PBEsol, with properties calculated at the SCAN level.

POSCAR file:
```
BaIr2Ru
1.0
2.8634 0.0000 0.0000
0.0000 5.1343 0.0000
-1.4317 -2.5671 5.0662
Ba Ir Ru
1 2 1
Direct
0.7511 0.2511 0.5021
0.9690 0.9690 0.9380
0.2470 0.7470 0.4940
0.5330 0.5330 0.0659
```

For the size of the total moment, the calculation gives 0.0 μB/cell. The calculation puts the density of states at the Fermi level at 4.209 states/eV per cell.

#two
Below is a crystal of BaIr2Ru relaxed with PBEsol, with properties calculated at the SCAN level.

POSCAR file:
```
BaIr2Ru
1.0
-2.5470 1.1933 -3.1140
2.2521 -2.2743 -2.7135
-2.2464 -2.6893 3.6340
Ba Ir Ru
1 2 1
Direct
0.0000 0.0000 0.0000
0.7500 0.2500 0.5000
0.2500 0.7500 0.5000
0.5000 0.5000 0.0000
```

For the size of the total moment, the calculation gives 0.7 μB/cell. The calculation puts the density of states at the Fermi level at 5.196 states/eV per cell.

#three
Below is a crystal of BaIr2Ru relaxed with PBEsol, with properties calculated at the SCAN level.

POSCAR file:
```
BaIr2Ru
1.0
4.0623 0.0000 0.0000
0.0000 4.0623 0.0000
0.0000 0.0000 4.3715
Ir Ba Ru
2 1 1
Direct
0.0000 0.5000 0.0000
0.5000 0.0000 0.0000
0.0000 0.0000 0.5000
0.5000 0.5000 0.5000
```

For the size of the total moment, the calculation gives 1.2 μB/cell. The calculation puts the density of states at the Fermi level at 3.788 states/eV per cell.

Most stable: #one. Least stable: #two.

#one
Below is a crystal of BaSr2Ir relaxed with PBEsol, with properties calculated at the SCAN level.

POSCAR file:
```
BaSr2Ir
1.0
-2.6095 2.1580 2.7031
-2.3507 -5.1570 1.8478
5.8855 2.1759 3.9446
Ir Ba Sr
1 1 2
Direct
0.5000 0.7495 0.4990
0.0000 0.6015 0.2030
0.0000 0.8918 0.7837
0.5000 0.2556 0.5111
```

For the size of the total moment, the calculation gives 0.0 μB/cell. The calculation puts the density of states at the Fermi level at 2.482 states/eV per cell.

#two
Below is a crystal of BaSr2Ir relaxed with PBEsol, with properties calculated at the SCAN level.

POSCAR file:
```
BaSr2Ir
1.0
4.3380 0.0000 0.0000
0.0000 6.1749 0.0000
0.0000 -3.0875 6.4440
Ir Ba Sr
1 1 2
Direct
0.5000 0.0000 0.0000
0.5000 0.5000 0.0000
0.0000 0.8516 0.7031
0.0000 0.1484 0.2969
```

For the size of the total moment, the calculation gives 0.0 μB/cell. The calculation puts the density of states at the Fermi level at 1.734 states/eV per cell.

Most stable: #one. Least stable: #two.

#one
Below is a crystal of Ba2TaIr relaxed with PBEsol, with properties calculated at the SCAN level.

POSCAR file:
```
Ba2TaIr
1.0
4.2198 0.0000 0.0000
0.0000 4.2198 0.0000
-2.1099 -2.1099 5.5094
Ir Ba Ta
1 2 1
Direct
0.0000 0.0000 0.0000
0.2500 0.7500 0.5000
0.7500 0.2500 0.5000
0.5000 0.5000 0.0000
```

For the size of the total moment, the calculation gives 0.0 μB/cell. The calculation puts the density of states at the Fermi level at 3.558 states/eV per cell.

#two
Below is a crystal of Ba2TaIr relaxed with PBEsol, with properties calculated at the SCAN level.

POSCAR file:
```
Ba2TaIr
1.0
-2.3277 0.9815 -2.1337
-3.1869 -0.6171 0.6305
-2.6308 9.5110 4.6826
Ir Ba Ta
1 2 1
Direct
0.5000 0.5000 0.5000
0.2425 0.2425 0.2726
0.7575 0.7575 0.7274
0.0000 0.0000 0.0000
```

For the size of the total moment, the calculation gives 0.0 μB/cell. The calculation puts the density of states at the Fermi level at 5.514 states/eV per cell.

Most stable: #one. Least stable: #two.

#one
Below is a crystal of BaIrW2 relaxed with PBEsol, with properties calculated at the SCAN level.

POSCAR file:
```
BaIrW2
1.0
-1.8250 1.8716 -1.0523
-3.3204 -0.8183 4.3032
3.9511 4.0232 0.3033
W Ir Ba
2 1 1
Direct
0.0000 0.5000 0.5000
0.0000 0.0000 0.5000
0.5000 0.5000 0.0000
0.5000 0.0000 0.0000
```

For the size of the total moment, the calculation gives 0.0 μB/cell. The calculation puts the density of states at the Fermi level at 3.902 states/eV per cell.

#two
Below is a crystal of BaIrW2 relaxed with PBEsol, with properties calculated at the SCAN level.

POSCAR file:
```
BaIrW2
1.0
-1.4185 -0.5726 2.5212
2.4540 -4.4380 0.3728
3.6854 2.2551 2.5856
W Ir Ba
2 1 1
Direct
0.0000 0.0000 0.0000
0.5000 0.5000 0.0000
0.0000 0.5000 0.5000
0.5000 0.0000 0.5000
```

For the size of the total moment, the calculation gives 0.0 μB/cell. The calculation puts the density of states at the Fermi level at 3.507 states/eV per cell.

#three
Below is a crystal of BaIrW2 relaxed with PBEsol, with properties calculated at the SCAN level.

POSCAR file:
```
BaIrW2
1.0
-2.1020 -2.0896 0.6100
4.3968 -1.9406 0.9981
-1.4297 3.0815 5.6294
W Ir Ba
2 1 1
Direct
0.2857 0.5714 0.8617
0.0013 0.0026 0.0012
0.7239 0.4478 0.1501
0.4891 0.9782 0.4870
```

For the size of the total moment, the calculation gives 0.0 μB/cell. The calculation puts the density of states at the Fermi level at 3.724 states/eV per cell.

Most stable: #three. Least stable: #one.

#one
Below is a crystal of BaIrW2 relaxed with PBEsol, with properties calculated at the SCAN level.

POSCAR file:
```
BaIrW2
1.0
2.8210 0.0000 0.0000
0.0000 5.1979 0.0000
-1.4105 -2.5990 5.5122
Ir W Ba
1 2 1
Direct
0.5000 0.0000 0.0000
0.2074 0.2074 0.4147
0.7926 0.7926 0.5853
0.0000 0.5000 0.0000
```

For the size of the total moment, the calculation gives 0.0 μB/cell. The calculation puts the density of states at the Fermi level at 1.934 states/eV per cell.

#two
Below is a crystal of BaIrW2 relaxed with PBEsol, with properties calculated at the SCAN level.

POSCAR file:
```
BaIrW2
1.0
3.0531 0.0000 -0.0195
0.0000 4.6308 0.0000
-1.3134 0.0000 6.3619
W Ir Ba
2 1 1
Direct
0.8043 0.0000 0.6496
0.1957 0.0000 0.3504
0.0000 0.5000 0.5000
0.5000 0.5000 0.0000
```

For the size of the total moment, the calculation gives 0.0 μB/cell. The calculation puts the density of states at the Fermi level at 4.374 states/eV per cell.

Most stable: #one. Least stable: #two.

#one
Below is a crystal of BaIrW2 relaxed with PBEsol, with properties calculated at the SCAN level.

POSCAR file:
```
BaIrW2
1.0
-3.0349 -3.3676 1.3526
-0.1991 -1.3207 4.5384
-3.7679 1.1285 2.6288
Ba Ir W
1 1 2
Direct
0.5000 0.5000 0.5000
0.2500 0.2500 0.2500
0.7500 0.7500 0.7500
0.0000 0.0000 0.0000
```

For the size of the total moment, the calculation gives 0.0 μB/cell. The calculation puts the density of states at the Fermi level at 3.352 states/eV per cell.

#two
Below is a crystal of BaIrW2 relaxed with PBEsol, with properties calculated at the SCAN level.

POSCAR file:
```
BaIrW2
1.0
2.9079 0.0000 0.0000
0.0000 2.9079 0.0000
0.0000 0.0000 9.2237
W Ba Ir
2 1 1
Direct
0.5000 0.5000 0.1993
0.0000 0.0000 0.9787
0.0000 0.0000 0.5187
0.5000 0.5000 0.8033
```

For the size of the total moment, the calculation gives 0.0 μB/cell. The calculation puts the density of states at the Fermi level at 2.716 states/eV per cell.

Most stable: #two. Least stable: #one.

#one
Below is a crystal of BaYIr relaxed with PBEsol, with properties calculated at the SCAN level.

POSCAR file:
```
BaYIr
1.0
3.5576 0.0000 0.0000
0.0000 3.5576 0.0000
-1.7788 -1.7788 7.0095
Ba Y Ir
1 1 1
Direct
0.9650 0.9650 0.9300
0.7207 0.7207 0.4414
0.3143 0.3143 0.6286
```

For the size of the total moment, the calculation gives 0.0 μB/cell. The calculation puts the density of states at the Fermi level at 1.990 states/eV per cell.

#two
Below is a crystal of BaYIr relaxed with PBEsol, with properties calculated at the SCAN level.

POSCAR file:
```
BaYIr
1.0
4.9740 0.0000 0.0000
2.4870 4.3076 0.0000
2.4870 1.4359 4.0612
Ir Ba Y
1 1 1
Direct
0.2500 0.2500 0.2500
0.5000 0.5000 0.5000
0.0000 0.0000 0.0000
```

For the size of the total moment, the calculation gives 0.0 μB/cell. The calculation puts the density of states at the Fermi level at 1.640 states/eV per cell.

Most stable: #one. Least stable: #two.

#one
Below is a crystal of Ba2YIr relaxed with PBEsol, with properties calculated at the SCAN level.

POSCAR file:
```
Ba2YIr
1.0
3.6739 0.0000 0.0000
0.0000 3.6739 0.0000
0.0000 0.0000 10.1569
Ba Y Ir
2 1 1
Direct
0.0000 0.0000 0.8219
0.0000 0.0000 0.1781
0.5000 0.5000 0.5000
0.5000 0.5000 0.0000
```

For the size of the total moment, the calculation gives 1.8 μB/cell. The calculation puts the density of states at the Fermi level at 3.542 states/eV per cell.

#two
Below is a crystal of Ba2YIr relaxed with PBEsol, with properties calculated at the SCAN level.

POSCAR file:
```
Ba2YIr
1.0
-3.4371 -2.8363 0.2460
2.4267 -3.1205 -2.0718
1.8862 -1.8522 4.9990
Ba Ir Y
2 1 1
Direct
0.5000 0.0000 0.0000
0.0000 0.5000 0.0000
0.5000 0.5000 0.5000
0.0000 0.0000 0.5000
```

For the size of the total moment, the calculation gives 0.0 μB/cell. The calculation puts the density of states at the Fermi level at 3.187 states/eV per cell.

#three
Below is a crystal of Ba2YIr relaxed with PBEsol, with properties calculated at the SCAN level.

POSCAR file:
```
Ba2YIr
1.0
-3.1815 -2.0948 0.2899
0.9127 -1.8831 -3.5906
4.2767 -5.6054 6.4319
Ba Ir Y
2 1 1
Direct
0.5000 0.2741 0.5482
0.0000 0.9706 0.9412
0.0000 0.1349 0.2698
0.5000 0.6140 0.2279
```

For the size of the total moment, the calculation gives 0.0 μB/cell. The calculation puts the density of states at the Fermi level at 1.670 states/eV per cell.

Most stable: #three. Least stable: #two.

#one
Below is a crystal of BaZn3Ir relaxed with PBEsol, with properties calculated at the SCAN level.

POSCAR file:
```
BaZn3Ir
1.0
-2.9590 -2.6157 2.8001
3.4189 -0.2049 3.4215
-1.7301 4.0687 1.9725
Zn Ir Ba
3 1 1
Direct
0.5000 0.0000 0.0000
0.0000 0.0000 0.5000
0.0000 0.5000 0.0000
0.0000 0.0000 0.0000
0.5000 0.5000 0.5000
```

For the size of the total moment, the calculation gives 0.0 μB/cell. The calculation puts the density of states at the Fermi level at 2.371 states/eV per cell.

#two
Below is a crystal of BaZn3Ir relaxed with PBEsol, with properties calculated at the SCAN level.

POSCAR file:
```
BaZn3Ir
1.0
-4.4554 4.1232 -2.5413
-1.7207 -0.6223 -6.5141
-6.2125 -2.3048 -1.3689
Zn Ba Ir
6 2 2
Direct
0.7074 0.7926 0.2926
0.2074 0.7926 0.2926
0.2500 0.1759 0.3241
0.7500 0.8241 0.6759
0.7926 0.2074 0.7074
0.2926 0.2074 0.7074
0.7500 0.3363 0.1637
0.2500 0.6637 0.8363
0.0000 0.5000 0.5000
0.5000 0.0000 0.0000
```

For the size of the total moment, the calculation gives 0.0 μB/cell. The calculation puts the density of states at the Fermi level at 3.754 states/eV per cell.

Most stable: #two. Least stable: #one.